The following is a DFT calculation (GGA-PBE) of Pm2PrDyN4 after structural relaxation.

## Properties
crystal system: monoclinic
uncorrected formation energy: -1.445 eV/atom
space group: P2/m

a = 3.602 Å, b = 6.234 Å, c = 6.237 Å
α = 70.59°, β = 90.00°, γ = 90.00°
Fractional coordinates of all 8 atoms:
1 Dy 0.000 0.500 0.500
2 N 0.500 0.254 0.743
3 N 0.000 0.750 0.744
4 N 0.500 0.746 0.257
5 N 0.000 0.250 0.256
6 Pm 0.500 0.000 0.500
7 Pm 0.000 0.000 0.000
8 Pr 0.500 0.500 0.000

The following is a DFT calculation (GGA-PBE) of PmDyPu2N4 after structural relaxation.

## Properties
crystal system: monoclinic
uncorrected formation energy: -1.414 eV/atom
space group: P2/m

a = 3.513 Å, b = 6.091 Å, c = 6.045 Å
α = 109.57°, β = 90.00°, γ = 90.00°
Each line ends with the local moment (μB).
Fractional coordinates of all 8 atoms:
1 Pu 0.500 0.000 0.500  4.75
2 Pu 0.000 0.500 0.500  4.56
3 N 0.500 0.737 0.732  -0.16
4 N 0.000 0.252 0.737  -0.15
5 N 0.000 0.748 0.263  -0.15
6 N 0.500 0.263 0.268  -0.16
7 Pm 0.000 0.000 0.000  0.14
8 Dy 0.500 0.500 0.000  0.15